[1]
{"formula": "PrTl2Pd2", "functional": "PBE", "state": "relaxed", "magmom_total_mub_per_fu": 0.00, "final_energy_ev_per_atom": -4.325, "lattice_angstrom": [[0.623, -2.024, 6.499], [3.837, 3.054, 4.763], [-4.656, 1.293, -4.836]], "species": ["Pr", "Pd", "Pd", "Tl", "Tl"], "fractional_positions": [[0.000, 0.000, 0.000], [0.607, 0.607, 0.000], [0.393, 0.393, 0.000], [0.750, 0.250, 0.500], [0.250, 0.750, 0.500]]}

[2]
{"formula": "KTcTe2AuSe", "functional": "PBE", "state": "relaxed", "magmom_total_mub_per_fu": 2.57, "final_energy_ev_per_atom": -4.258, "lattice_angstrom": [[1.996, -7.932, 0.000], [1.996, 7.932, 0.000], [0.000, 0.000, 10.538]], "species": ["Te", "Au", "Tc", "Te", "Te", "Au", "K", "Se", "Tc", "Te", "K", "Se"], "fractional_positions": [[0.378, 0.622, 0.018], [0.552, 0.448, 0.750], [0.000, 0.000, 0.500], [0.378, 0.622, 0.482], [0.622, 0.378, 0.518], [0.448, 0.552, 0.250], [0.757, 0.243, 0.250], [0.941, 0.059, 0.750], [0.000, 0.000, 0.000], [0.622, 0.378, 0.982], [0.243, 0.757, 0.750], [0.059, 0.941, 0.250]]}

What is the formula in the first record?
PrTl2Pd2

Please write out number 2 again, unchanged.
{"formula": "KTcTe2AuSe", "functional": "PBE", "state": "relaxed", "magmom_total_mub_per_fu": 2.57, "final_energy_ev_per_atom": -4.258, "lattice_angstrom": [[1.996, -7.932, 0.000], [1.996, 7.932, 0.000], [0.000, 0.000, 10.538]], "species": ["Te", "Au", "Tc", "Te", "Te", "Au", "K", "Se", "Tc", "Te", "K", "Se"], "fractional_positions": [[0.378, 0.622, 0.018], [0.552, 0.448, 0.750], [0.000, 0.000, 0.500], [0.378, 0.622, 0.482], [0.622, 0.378, 0.518], [0.448, 0.552, 0.250], [0.757, 0.243, 0.250], [0.941, 0.059, 0.750], [0.000, 0.000, 0.000], [0.622, 0.378, 0.982], [0.243, 0.757, 0.750], [0.059, 0.941, 0.250]]}

Number 1 is which compound?
PrTl2Pd2

Copy entry 2 word for word.
{"formula": "KTcTe2AuSe", "functional": "PBE", "state": "relaxed", "magmom_total_mub_per_fu": 2.57, "final_energy_ev_per_atom": -4.258, "lattice_angstrom": [[1.996, -7.932, 0.000], [1.996, 7.932, 0.000], [0.000, 0.000, 10.538]], "species": ["Te", "Au", "Tc", "Te", "Te", "Au", "K", "Se", "Tc", "Te", "K", "Se"], "fractional_positions": [[0.378, 0.622, 0.018], [0.552, 0.448, 0.750], [0.000, 0.000, 0.500], [0.378, 0.622, 0.482], [0.622, 0.378, 0.518], [0.448, 0.552, 0.250], [0.757, 0.243, 0.250], [0.941, 0.059, 0.750], [0.000, 0.000, 0.000], [0.622, 0.378, 0.982], [0.243, 0.757, 0.750], [0.059, 0.941, 0.250]]}